No. 1
{
  "formula": "HoInCoAg",
  "functional": "PBE",
  "state": "optimized geometry",
  "total_energy_ev_per_atom": -4.45,
  "sg": "F-43m, No. 216",
  "delta_e_f_mev_per_atom": -136,
  "lattice": [[-1.2161, -2.9317, 3.5643], [3.3316, -2.6631, 2.1415], [1.3401, 0.9953, 4.4712]],
  "species": ["Ho", "In", "Co", "Ag"],
  "fractional_positions": [[0.0000, 0.0000, 0.0000], [0.5000, 0.5000, 0.5000], [0.7500, 0.7500, 0.7500], [0.2500, 0.2500, 0.2500]]
}

=====

No. 2
{
  "formula": "LaHoCoAg",
  "functional": "PBE",
  "state": "optimized geometry",
  "total_energy_ev_per_atom": -4.97,
  "sg": "F-43m, No. 216",
  "delta_e_f_mev_per_atom": -102,
  "lattice": [[-3.3082, 3.3013, 1.9630], [-4.4638, -1.6304, 1.7645], [-0.9120, 0.0129, 4.9865]],
  "species": ["Ho", "Ag", "Co", "La"],
  "fractional_positions": [[0.0000, 0.0000, 0.0000], [0.2500, 0.2500, 0.2500], [0.7500, 0.7500, 0.7500], [0.5000, 0.5000, 0.5000]]
}

=====

No. 3
{
  "formula": "NdHoCoAg",
  "functional": "PBE",
  "state": "optimized geometry",
  "total_energy_ev_per_atom": -4.94,
  "sg": "F-43m, No. 216",
  "delta_e_f_mev_per_atom": -115,
  "lattice": [[-3.6993, 3.3704, 0.4128], [-1.7554, 1.2587, 4.5331], [0.9528, 4.5555, 1.8853]],
  "species": ["Ag", "Co", "Nd", "Ho"],
  "fractional_positions": [[0.2500, 0.2500, 0.2500], [0.7500, 0.7500, 0.7500], [0.5000, 0.5000, 0.5000], [0.0000, 0.0000, 0.0000]]
}

=====

- Which formula does entry 3 have?
  NdHoCoAg